Entry 1:
This record from Alexandria describes crystalline CoGeSe2F at its relaxed geometry. The functional is PBE+U.

Properties
energy: -17.48 eV per cell

CIF file:
```
data_CoGeSe2F
_cell_length_a 5.2797
_cell_length_b 5.2797
_cell_length_c 3.7053
_cell_angle_alpha 90.00
_cell_angle_beta 90.00
_cell_angle_gamma 90.00
_symmetry_space_group_name_H-M 'P 4/m m m'
_symmetry_Int_Tables_number 123
_symmetry_space_group_name_Hall '-P 4 2'
loop_
_atom_site_label
_atom_site_type_symbol
_atom_site_fract_x
_atom_site_fract_y
_atom_site_fract_z
Co1 Co 0.0000 0.0000 0.0000
Ge1 Ge 0.5000 0.5000 0.0000
Se1 Se 0.0000 0.5000 0.5000
F1 F 0.0000 0.0000 0.5000
```

Entry 2:
This record from Alexandria describes crystalline CoGe2SeF at its relaxed geometry. The functional is PBE+U.

Properties
energy: -17.51 eV per cell

CIF file:
```
data_CoGe2SeF
_cell_length_a 5.2425
_cell_length_b 5.2425
_cell_length_c 4.0221
_cell_angle_alpha 90.00
_cell_angle_beta 90.00
_cell_angle_gamma 90.00
_symmetry_space_group_name_H-M 'P 4/m m m'
_symmetry_Int_Tables_number 123
_symmetry_space_group_name_Hall '-P 4 2'
loop_
_atom_site_label
_atom_site_type_symbol
_atom_site_fract_x
_atom_site_fract_y
_atom_site_fract_z
Co1 Co 0.0000 0.0000 0.0000
Ge1 Ge 0.0000 0.5000 0.5000
Se1 Se 0.5000 0.5000 0.5000
F1 F 0.5000 0.5000 0.0000
```